This record from Alexandria via LeMat-Bulk describes a relaxed TlRuSeBr2 crystal. The functional is PBE-GGA.

**ΔE_f (raw)**: 0.925 eV per atom
**N(E_F)**: 1.26 states/eV per atom
**Energy above the lowest structure with this stoichiometry**: 1090 meV per atom
**Magnetic moment**: 0.710 μB per atom

a = 5.5898 Å, b = 5.5898 Å, c = 5.4006 Å
α = 90.00°, β = 90.00°, γ = 90.00°
With the nearest neighbours (Å) after each atom.
Space group P4/mmm (No. 123)
One atom of each set of equivalent atoms:
Tl 0.0000 0.0000 0.0000 (multiplicity 1)  2 Se 2.70, 4 Br 2.79
Ru 0.5000 0.5000 0.5000 (multiplicity 1)  8 Br 3.89, 4 Se 3.95
Se 0.0000 0.0000 0.5000 (multiplicity 1)  2 Tl 2.70
Br 0.0000 0.5000 0.0000 (multiplicity 2)  2 Tl 2.79

This record from Alexandria via LeMat-Bulk describes a relaxed MnNb2Te6 crystal. The functional is PBE-GGA.

**ΔE_f (raw)**: -0.177 eV per atom
**N(E_F)**: 0.64 states/eV per atom
**Energy above the lowest structure with this stoichiometry**: 190 meV per atom
**Magnetic moment**: 0.333 μB per atom

a = 6.9675 Å, b = 7.0862 Å, c = 11.0147 Å
α = 90.00°, β = 125.20°, γ = 90.00°
With the nearest neighbours (Å) after each atom.
Space group P2_1/c (No. 14)
One atom of each set of equivalent atoms:
Mn 0.0000 0.0000 0.0000 (multiplicity 2)  6 Te 2.63-2.72
Nb 0.2204 0.1568 0.7451 (multiplicity 4)  6 Te 2.76-3.08
Te 0.0854 0.1598 0.4247 (multiplicity 4)  1 Mn 2.72, 2 Nb 2.91-2.94
Te 0.2760 0.6638 0.4306 (multiplicity 4)  1 Mn 2.71, 1 Nb 2.93
Te 0.4087 0.5058 0.7609 (multiplicity 4)  1 Mn 2.63, 2 Nb 2.76-2.83